No. 1
Cs3GeF7 | meta-GGA SCAN | PBEsol geometry

Unit cell a=8.311 b=8.311 c=6.192 alpha=90.00 beta=90.00 gamma=90.00
Space group P4/mbm (No. 127)
Inequivalent atoms, fractional coordinates:
Cs 0.000 0.000 0.000 x2
Cs 0.193 0.307 0.500 x4
Ge 0.000 0.500 0.000 x2
F 0.000 0.000 0.500 x2
F 0.109 0.609 0.210 x8
F 0.155 0.345 0.000 x4

theoretical density: 4.7 g/cm³
formation energy without anion corrections: -2934 meV/atom
energy: -379.1 eV for the cell shown
size of the total moment: 0.13 μB/cell

=====

No. 2
CsHgGe2F | meta-GGA SCAN | PBEsol geometry

Unit cell a=4.660 b=4.660 c=6.185 alpha=90.00 beta=90.00 gamma=90.00
Space group P4/mmm (No. 123)
Inequivalent atoms, fractional coordinates:
Cs 0.000 0.000 0.000 x1
Hg 0.500 0.500 0.000 x1
Ge 0.000 0.500 0.500 x2
F 0.500 0.500 0.500 x1

theoretical density: 6.2 g/cm³
formation energy without anion corrections: -55 meV/atom
energy: -148.0 eV for the cell shown
size of the total moment: 0.00 μB/cell

=====

No. 3
Cs2InGeF | meta-GGA SCAN | PBEsol geometry

Unit cell a=7.107 b=7.107 c=4.529 alpha=90.00 beta=90.00 gamma=90.00
Space group P4/mmm (No. 123)
Inequivalent atoms, fractional coordinates:
Cs 0.000 0.500 0.000 x2
In 0.000 0.000 0.000 x1
Ge 0.500 0.500 0.500 x1
F 0.000 0.000 0.500 x1

theoretical density: 3.4 g/cm³
formation energy without anion corrections: -321 meV/atom
energy: -133.2 eV for the cell shown
size of the total moment: 1.18 μB/cell

=====

No. 4
CsGe2PtF | meta-GGA SCAN | PBEsol geometry

Unit cell a=4.566 b=4.566 c=5.229 alpha=90.00 beta=90.00 gamma=90.00
Space group P4/mmm (No. 123)
Inequivalent atoms, fractional coordinates:
Cs 0.000 0.000 0.000 x1
Ge 0.000 0.500 0.500 x2
Pt 0.500 0.500 0.000 x1
F 0.000 0.000 0.500 x1

theoretical density: 7.5 g/cm³
formation energy without anion corrections: 176 meV/atom
energy: -148.8 eV for the cell shown
size of the total moment: 0.00 μB/cell

=====

No. 5
Cs3HF | meta-GGA SCAN | PBEsol geometry

Unit cell a=5.830 b=5.830 c=5.830 alpha=90.00 beta=90.00 gamma=90.00
Space group Pm-3m (No. 221)
Inequivalent atoms, fractional coordinates:
Cs 0.000 0.000 0.500 x3
H 0.000 0.000 0.000 x1
F 0.500 0.500 0.500 x1

theoretical density: 3.5 g/cm³
energy: -124.1 eV for the cell shown
size of the total moment: 0.00 μB/cell

=====

No. 6
CsInH2F | meta-GGA SCAN | PBEsol geometry

Unit cell a=3.981 b=3.981 c=8.905 alpha=90.00 beta=90.00 gamma=90.00
Space group P4/mmm (No. 123)
Inequivalent atoms, fractional coordinates:
Cs 0.000 0.000 0.000 x1
In 0.000 0.000 0.500 x1
H 0.000 0.500 0.500 x2
F 0.500 0.500 0.000 x1

theoretical density: 3.2 g/cm³
energy: -85.1 eV for the cell shown
size of the total moment: 0.00 μB/cell

=====

No. 7
Cs2MgHF | meta-GGA SCAN | PBEsol geometry

Unit cell a=5.740 b=5.740 c=4.396 alpha=90.00 beta=90.00 gamma=90.00
Space group P4/mmm (No. 123)
Inequivalent atoms, fractional coordinates:
Cs 0.000 0.500 0.000 x2
Mg 0.000 0.000 0.500 x1
H 0.000 0.000 0.000 x1
F 0.500 0.500 0.500 x1

theoretical density: 3.6 g/cm³
energy: -91.1 eV for the cell shown
size of the total moment: 0.00 μB/cell

=====

No. 8
Cs3H12N4F3 | meta-GGA SCAN | PBEsol geometry

Unit cell a=10.133 b=10.133 c=10.133 alpha=90.00 beta=90.00 gamma=90.00
Space group I-43d (No. 220)
Inequivalent atoms, fractional coordinates:
Cs 0.000 0.250 0.375 x12
H 0.016 0.058 0.148 x48
N 0.096 0.096 0.096 x16
F 0.000 0.250 0.875 x12

theoretical density: 3.3 g/cm³
energy: -903.4 eV for the cell shown
size of the total moment: 0.01 μB/cell

=====

No. 9
CsPH3O4F | meta-GGA SCAN | PBEsol geometry

Unit cell a=7.754 b=9.319 c=15.083 alpha=90.00 beta=90.00 gamma=90.00
Space group Pbca (No. 61)
Inequivalent atoms, fractional coordinates:
Cs 0.194 0.064 0.161 x8
P 0.181 0.211 0.437 x8
H 0.024 0.662 0.962 x8
H 0.051 0.198 0.800 x8
H 0.237 0.016 0.920 x8
O 0.029 0.236 0.374 x8
O 0.111 0.163 0.530 x8
O 0.195 0.589 0.404 x8
O 0.206 0.654 0.947 x8
F 0.060 0.144 0.738 x8

theoretical density: 3.0 g/cm³
energy: -852.8 eV for the cell shown
size of the total moment: 0.00 μB/cell

=====

No. 10
Cs2VH2O2F4 | meta-GGA SCAN | PBEsol geometry

Unit cell a=6.369 b=15.332 c=6.956 alpha=90.00 beta=93.43 gamma=90.00
Space group C2/c (No. 15)
Inequivalent atoms, fractional coordinates:
Cs 0.000 0.051 0.250 x4
Cs 0.000 0.246 0.750 x4
V 0.000 0.372 0.250 x4
H 0.050 0.447 0.862 x8
O 0.000 0.265 0.250 x4
O 0.000 0.484 0.750 x4
F 0.166 0.389 0.026 x8
F 0.248 0.393 0.412 x8

theoretical density: 4.2 g/cm³
energy: -617.5 eV for the cell shown
size of the total moment: 4.00 μB/cell

=====

No. 11
Cs3HS2F12 | meta-GGA SCAN | PBEsol geometry

Unit cell a=10.108 b=10.311 c=6.240 alpha=90.00 beta=90.00 gamma=90.00
Space group Pba2 (No. 32)
Inequivalent atoms, fractional coordinates:
Cs 0.000 0.000 0.000 x2
Cs 0.211 0.288 0.499 x4
H 0.000 0.000 0.499 x2
S 0.122 0.598 0.998 x4
F 0.017 0.891 0.498 x4
F 0.036 0.683 0.191 x4
F 0.037 0.682 0.804 x4
F 0.225 0.719 0.998 x4
F 0.228 0.534 0.204 x4
F 0.229 0.533 0.796 x4

theoretical density: 3.5 g/cm³
energy: -435.6 eV for the cell shown
size of the total moment: 0.00 μB/cell

=====

No. 12
Cs2HfF | meta-GGA SCAN | PBEsol geometry

Unit cell a=8.507 b=8.507 c=9.406 alpha=90.00 beta=90.00 gamma=90.00
Space group I-42d (No. 122)
Inequivalent atoms, fractional coordinates:
Cs 0.139 0.750 0.125 x8
Hf 0.000 0.000 0.500 x4
F 0.000 0.000 0.000 x4

theoretical density: 4.5 g/cm³
formation energy without anion corrections: -89 meV/atom
energy: -568.8 eV for the cell shown
size of the total moment: 12.00 μB/cell